AcPmYSe3 | the Alexandria database | PBE | relaxed; E_form (uncorrected) = -1.669 eV/atom; symmetry = P2_1/m, No. 11
1.0
-2.602 2.750 -1.915
-6.446 -3.690 3.463
2.759 7.400 6.874
Se Ac Pm Y
6 2 2 2
Direct
0.750 0.913 0.115
0.250 0.795 0.550
0.250 0.087 0.885
0.250 0.514 0.798
0.750 0.486 0.202
0.750 0.205 0.450
0.250 0.193 0.216
0.750 0.807 0.784
0.750 0.334 0.908
0.250 0.666 0.092
0.750 0.835 0.379
0.250 0.165 0.621

=====

TbTlSn | the Alexandria database | PBE | relaxed; symmetry = Fdd2, No. 43; energy of formation = -303 meV per atom; ΔE to the lowest computed polymorph = 0.1366 eV per atom
1.0
5.697 0.253 0.000
-2.513 5.119 0.000
-1.592 -2.686 5.535
Tl Tb Sn
2 2 2
Direct
0.381 0.619 0.500
0.631 0.369 0.000
0.969 0.031 0.000
0.719 0.281 0.500
0.306 0.694 0.000
0.056 0.944 0.500

=====

LaBeSi2Pt | the Alexandria database | PBE | relaxed; E_form (uncorrected) = -0.798 eV/atom; symmetry = I-4m2, No. 119
1.0
4.110 0.000 0.000
0.000 4.110 0.000
-2.055 -2.055 5.119
Be Si La Pt
1 2 1 1
Direct
0.750 0.250 0.500
0.622 0.622 0.243
0.378 0.378 0.757
0.000 0.000 0.000
0.250 0.750 0.500

=====

SmPu2Hg | the Alexandria database | PBE | relaxed; symmetry = P4/mmm, No. 123; energy of formation = 77 meV per atom; ΔE to the lowest computed polymorph = 0.1051 eV per atom
1.0
4.146 0.000 0.000
0.000 4.146 0.000
0.000 0.000 6.559
Hg Pu Sm
1 2 1
Direct
0.500 0.500 0.000
0.000 0.000 0.770
0.000 0.000 0.230
0.500 0.500 0.500

=====

GaNiPd6 | the Alexandria database | PBE | relaxed; symmetry = P-1, No. 2; energy of formation = -83 meV per atom; ΔE to the lowest computed polymorph = 0.1220 eV per atom
1.0
6.908 0.014 -0.522
3.445 6.022 -0.582
3.210 1.867 2.659
Pd Ni Ga
6 1 1
Direct
0.465 0.249 0.277
0.752 0.971 0.785
0.079 0.581 0.591
0.248 0.029 0.215
0.535 0.751 0.723
0.921 0.419 0.409
0.000 0.000 0.000
0.500 0.500 0.500

=====

Rb2CeReN4 | the Alexandria database | PBE | relaxed; E_form (uncorrected) = -0.511 eV/atom; symmetry = Pmn2_1, No. 31
1.0
6.251 0.000 0.000
0.000 7.822 0.000
0.000 0.000 7.201
N Re Rb Ce
8 2 4 2
Direct
0.292 0.112 0.000
0.945 0.273 0.216
0.859 0.948 0.000
0.445 0.727 0.716
0.445 0.727 0.284
0.359 0.052 0.500
0.792 0.888 0.500
0.945 0.273 0.784
0.004 0.153 0.000
0.504 0.847 0.500
0.978 0.655 0.247
0.978 0.655 0.753
0.478 0.345 0.747
0.478 0.345 0.253
0.000 0.122 0.500
0.500 0.878 0.000

=====

KAlP2S | the Alexandria database | PBE | relaxed; E_form (uncorrected) = 1.653 eV/atom; symmetry = P4/mmm, No. 123; ΔE to the lowest computed polymorph = 1.5823 eV per atom
1.0
-2.627 5.252 0.706
-5.182 -2.382 -1.565
-1.051 -1.250 5.386
S P K Al
1 2 1 1
Direct
0.000 0.000 0.500
0.500 0.000 0.000
0.000 0.500 0.000
0.000 0.000 0.000
0.500 0.500 0.500

=====

TbPmCuTc | the Alexandria database | PBE | relaxed; symmetry = F-43m, No. 216; energy of formation = -18 meV per atom
1.0
4.942 0.000 0.000
2.471 4.280 0.000
2.471 1.427 4.035
Cu Pm Tb Tc
1 1 1 1
Direct
0.250 0.250 0.250
0.500 0.500 0.500
0.000 0.000 0.000
0.750 0.750 0.750

=====

TlGa | the Alexandria database | PBE | relaxed; symmetry = Imm2, No. 44; energy of formation = 75 meV per atom
1.0
12.992 0.000 0.000
0.000 3.803 0.000
0.000 0.000 6.334
Tl Ga
6 6
Direct
0.205 0.000 0.173
0.295 0.500 0.673
0.500 0.000 0.458
0.000 0.500 0.958
0.795 0.000 0.173
0.705 0.500 0.673
0.000 0.500 0.421
0.388 0.500 0.138
0.888 0.000 0.638
0.612 0.500 0.138
0.500 0.000 0.921
0.112 0.000 0.638

=====

LiGe2BrN | the Alexandria database | PBE | relaxed; E_form (uncorrected) = 1.428 eV/atom; symmetry = P4/mmm, No. 123; ΔE to the lowest computed polymorph = 1.2386 eV per atom
1.0
5.226 0.000 0.000
0.000 4.412 0.000
0.000 0.000 5.226
N Li Br Ge
1 1 1 2
Direct
0.500 0.500 0.500
0.000 0.500 0.000
0.000 0.000 0.000
0.500 0.000 0.000
0.000 0.000 0.500

=====

Ba2GaNi2 | the Alexandria database | PBE | relaxed; symmetry = R-3m, No. 166; energy of formation = -240 meV per atom
1.0
4.083 0.000 1.172
1.873 3.628 1.172
-0.618 -0.377 9.853
Ba Ni Ga
2 2 1
Direct
0.425 0.425 0.726
0.575 0.575 0.274
0.681 0.681 0.957
0.319 0.319 0.043
0.000 0.000 0.000

=====

TbGdInAg | the Alexandria database | PBE | relaxed; symmetry = F-43m, No. 216; energy of formation = -400 meV per atom
1.0
5.281 0.000 0.000
2.641 4.574 0.000
2.641 1.525 4.312
Gd Ag Tb In
1 1 1 1
Direct
0.500 0.500 0.500
0.250 0.250 0.250
0.000 0.000 0.000
0.750 0.750 0.750

=====

For each record above, in turn, the calculated total magnetic moment values are 0.000 0.000 0.000 3.289 0.174 0.126 0.988 0.000 0.000 0.000 0.100 1.906 μB/atom.